This record from the Alexandria database describes a relaxed Ba2AlBiAu6 crystal. The functional is PBE.

Cell: 6.8794 6.8794 13.5803 Å, 75.33 75.33 60.00°
Atoms (fractional coordinates):
Al1 0.5000 0.5000 0.5000
Ba1 0.1127 0.1127 0.6620
Au1 0.6713 0.0786 0.5788
Au2 0.3287 0.3287 0.4212
Au3 0.3287 0.9214 0.4212
Al2 0.0000 0.0000 0.0000
Ba2 0.7210 0.7210 0.8370
Au4 0.6713 0.6713 0.5788
Au5 0.6415 0.2180 0.9225
Au6 0.3585 0.7820 0.0775
Au7 0.2180 0.2180 0.9225
Bi1 0.4223 0.4223 0.7331
Au8 0.9214 0.3287 0.4212
Au9 0.7820 0.7820 0.0775
Bi2 0.5777 0.5777 0.2669
Au10 0.0786 0.6713 0.5788
Ba3 0.8873 0.8873 0.3380
Au11 0.2180 0.6415 0.9225
Ba4 0.2790 0.2790 0.1630
Au12 0.7820 0.3585 0.0775

Calculated volume in Å³ per atom: 26.6
Spin magnetization in μB per atom: 0.0000
VASP energy in eV/atom: -3.67
Calculated formation energy in eV per formula unit: -5.53
Theoretical density in g/cm3: 10.56